# 1
DFT (PBE-GGA) results for a relaxed structure of KSc2Pb.

abc: 5.796 5.796 11.049
angles: 74.80 74.80 90.00
Site moments in Bohr magnetons follow the coordinates.
Element x y z (fractional)
Sc: 0.871 0.625 0.250  0.42
Sc: 0.875 0.129 0.750  0.38
Sc: 0.375 0.121 0.750  0.38
Sc: 0.879 0.125 0.250  0.42
Pb: 0.750 0.250 0.500  -0.03
Pb: 0.000 0.000 0.000  -0.03
K: 0.500 0.500 0.000  0.01
K: 0.250 0.750 0.500  0.01

Output
calculated density = 3.239 g cm⁻³
DFT total energy = -3.846 eV per atom
V = 172 Å³/f.u.
energy of formation = 0.521 eV/atom

***

# 2
DFT (PBE-GGA) results for a relaxed structure of Nd2BeNi3Ge4.

abc: 4.140 4.140 9.758
angles: 90.00 90.00 90.00
Element x y z (fractional)
Ge: 0.000 0.500 0.371
Ge: 0.000 0.000 0.000
Ge: 0.500 0.500 0.000
Ge: 0.500 0.000 0.629
Be: 0.500 0.500 0.500
Ni: 0.000 0.000 0.500
Ni: 0.500 0.000 0.876
Ni: 0.000 0.500 0.124
Nd: 0.500 0.000 0.252
Nd: 0.000 0.500 0.748

Output
calculated density = 7.588 g cm⁻³
DFT total energy = -5.544 eV per atom
V = 167 Å³/f.u.
energy of formation = -0.636 eV/atom